6
Lattice="-2.462 2.318 -0.997 -1.553 -2.489 -1.955 -6.262 -2.914 8.684" Properties=species:S:1:pos:R:3 comment="NaSc2Hg3 | Alexandria | PBE-GGA | relaxed" mass_density_g_cm3=8.61 delta_e_f_ev_per_atom=-0.340 sg="P4/mmm, No. 123" e_tot_ev_per_atom=-2.82 crystal_system=tetragonal dos_ef_per_ev_cell=3.7 pbc="T T T"
Hg 0.000 0.000 0.000
Sc -3.014 -0.554 -0.079
Hg -1.937 -0.901 2.686
Sc -7.262 -2.531 5.812
Hg -4.325 -2.013 5.998
Na -5.138 -1.543 2.866

4
Lattice="3.375 0.005 0.000 -1.639 2.951 0.000 0.000 0.000 9.312" Properties=species:S:1:pos:R:3 comment="Al2InBr | Alexandria | PBE-GGA | relaxed" mass_density_g_cm3=4.45 formation_energy_uncorrected_ev_per_atom=0.125 sg="Cmmm, No. 65" e_tot_ev_per_atom=-2.85 polymorph_energy_ev_per_atom=0.101 crystal_system=orthorhombic dos_ef_per_ev_cell=0.9 pbc="T T T"
Al 0.000 0.000 0.101
In 0.868 1.478 6.984
Al 0.000 0.000 4.555
Br 0.868 1.478 2.328

8
Lattice="4.966 0.000 0.000 0.000 4.966 0.000 0.000 0.000 5.000" Properties=species:S:1:pos:R:3 comment="MnGa | Alexandria | PBE-GGA | relaxed" mass_density_g_cm3=6.72 delta_e_f_ev_per_atom=0.244 sg="P4_2/mnm, No. 136" e_tot_ev_per_atom=-5.85 crystal_system=tetragonal dos_ef_per_ev_cell=5.3 pbc="T T T"
Mn 3.417 1.549 0.000
Ga 3.436 1.529 2.500
Ga 4.012 4.012 0.000
Mn 1.549 3.417 0.000
Ga 0.954 0.954 0.000
Mn 4.032 4.032 2.500
Ga 1.529 3.436 2.500
Mn 0.934 0.934 2.500

8
Lattice="4.713 0.000 0.000 0.000 4.713 0.000 2.356 2.356 7.554" Properties=species:S:1:pos:R:3 comment="GePAu2 | Alexandria | PBE-GGA | relaxed" mass_density_g_cm3=9.85 delta_e_f_ev_per_atom=0.148 sg="I-42d, No. 122" e_tot_ev_per_atom=-4.00 polymorph_energy_ev_per_atom=0.000 crystal_system=tetragonal dos_ef_per_ev_cell=2.9 pbc="T T T"
Au 3.282 1.178 1.888
Au 5.891 5.638 5.665
Ge 4.713 2.356 3.777
P 2.356 4.713 3.777
Ge 0.000 0.000 0.000
Au 3.534 3.787 5.665
Au 1.430 3.534 1.888
P 2.356 2.356 0.000

9
Lattice="6.560 0.000 0.000 0.000 7.055 0.000 0.000 -3.528 6.110" Properties=species:S:1:pos:R:3 comment="NaCaAlBr6 | Alexandria | PBE-GGA | relaxed" mass_density_g_cm3=3.34 formation_energy_uncorrected_ev_per_atom=-1.471 sg="P312, No. 149" e_tot_ev_per_atom=-3.37 crystal_system=trigonal dos_ef_per_ev_cell=0.0 pbc="T T T"
Al 3.280 0.000 0.000
Br 4.769 2.061 0.037
Br 4.769 5.993 1.766
Br 1.790 1.063 1.766
Na 0.000 0.000 4.073
Br 1.790 4.526 4.307
Ca 3.280 3.528 2.037
Br 1.790 4.994 0.037
Br 4.769 2.529 4.307

5
Lattice="-3.136 3.081 0.715 -0.887 0.151 -4.537 -3.046 -3.213 0.489" Properties=species:S:1:pos:R:3 comment="LiTiVTc2 | Alexandria | PBE-GGA | relaxed" mass_density_g_cm3=5.46 delta_e_f_ev_per_atom=0.917 sg="P4/mmm, No. 123" e_tot_ev_per_atom=-7.01 crystal_system=tetragonal dos_ef_per_ev_cell=3.8 pbc="T T T"
V 0.000 0.000 0.000
Ti -0.443 0.075 -2.268
Tc -1.568 1.541 0.358
Tc -1.523 -1.607 0.244
Li -3.534 0.009 -1.666

6
Lattice="2.057 -10.476 0.000 2.057 10.476 0.000 0.000 0.000 4.233" Properties=species:S:1:pos:R:3 comment="AsPb2 | Alexandria | PBE-GGA | relaxed" mass_density_g_cm3=8.91 delta_e_f_ev_per_atom=0.044 sg="Cmcm, No. 63" e_tot_ev_per_atom=-3.98 polymorph_energy_ev_per_atom=0.042 crystal_system=orthorhombic dos_ef_per_ev_cell=2.5 pbc="T T T"
Pb 2.057 1.402 1.058
Pb 2.057 -4.247 1.058
As 2.057 8.296 1.058
As 2.057 -8.296 3.175
Pb 2.057 4.247 3.175
Pb 2.057 -1.402 3.175

20
Lattice="-1.026 -2.846 -0.291 7.755 -3.271 4.660 -4.677 0.830 8.367" Properties=species:S:1:pos:R:3 comment="Mg2BeZn2Cu5 | Alexandria | PBE-GGA | relaxed" mass_density_g_cm3=5.98 delta_e_f_ev_per_atom=-0.010 sg="P4/mbm, No. 127" e_tot_ev_per_atom=-3.00 crystal_system=tetragonal dos_ef_per_ev_cell=4.2 pbc="T T T"
Be 1.539 -1.221 6.513
Zn 4.996 -2.522 7.060
Mg -0.251 -0.274 3.561
Cu 0.580 -2.659 8.091
Zn 2.176 -1.074 2.837
Cu -0.589 -2.019 5.955
Cu 2.642 -3.268 6.781
Cu 1.417 -3.323 11.633
Cu 3.365 -3.059 2.184
Mg 4.395 -2.046 4.517
Cu 6.022 -4.383 5.773
Cu -3.969 -0.904 6.963
Zn -1.917 0.081 5.966
Cu 0.636 -1.965 1.102
Zn 0.902 -1.367 10.189
Cu -2.851 -1.008 4.038
Be 0.000 0.000 0.000
Mg -1.316 -0.396 8.509
Cu 1.473 -2.628 4.644
Mg 3.330 -2.168 9.465

58
Lattice="-4.707 -3.672 -1.074 1.773 1.069 5.702 -18.927 23.848 1.414" Properties=species:S:1:pos:R:3 comment="Ba6Nd2Ti4O17 | Alexandria | PBE-GGA | relaxed" mass_density_g_cm3=5.39 formation_energy_uncorrected_ev_per_atom=-3.068 sg="P6_3/mmc, No. 194" e_tot_ev_per_atom=-7.79 crystal_system=hexagonal dos_ef_per_ev_cell=0.0 pbc="T T T"
O -18.808 20.996 1.912
Ba -10.331 7.716 1.766
O -6.319 4.573 2.542
Ba -4.227 0.025 1.310
Ba -11.531 13.529 4.275
Ti -20.479 20.502 2.524
Ba -3.922 3.943 3.707
O -13.450 18.304 3.977
O -15.542 16.672 3.500
O -19.205 23.199 4.849
Ba -15.546 14.287 2.155
O -12.179 12.644 1.417
Nd -11.856 14.939 0.886
O -15.898 19.498 3.013
O -21.116 19.196 1.385
O -14.487 10.843 0.890
O -15.073 19.995 5.666
O -5.963 1.747 3.028
O -9.780 5.020 0.598
O -8.955 5.517 3.252
Ti -8.855 10.158 4.076
O -8.243 9.877 2.356
Ba -9.464 11.924 0.707
O -20.246 19.720 4.180
Nd -2.393 3.015 0.179
Ba -17.939 17.302 2.334
O -14.272 14.516 4.943
Ba 0.000 0.000 0.000
O -12.906 15.728 2.790
Ti -8.145 4.961 1.602
Nd -7.071 8.909 0.528
Ti -1.382 0.743 3.517
Ti -15.448 18.466 4.568
Ti -13.716 16.284 4.439
O -0.745 2.049 4.656
O -14.754 17.147 6.034
O -7.374 10.402 5.151
Ti -6.413 2.779 1.473
O -6.788 1.250 0.375
O -9.682 8.601 4.625
Ba -4.732 5.962 0.354
O -13.618 11.368 3.685
Nd -16.534 20.833 1.235
O -3.053 0.249 4.129
O -2.656 -1.954 1.192
Ba -6.315 6.958 3.886
Ba -14.195 17.886 1.061
O -12.081 16.225 5.443
O -17.264 18.286 5.166
O -11.901 9.695 1.883
O -8.411 2.941 2.064
Ba -17.634 21.220 4.732
O -1.615 1.525 1.861
O -9.960 11.550 4.158
O -4.598 2.959 0.875
O -7.107 4.098 0.008
O -7.589 6.729 1.098
Ti -13.006 11.087 1.966

4
Lattice="4.998 0.000 0.000 2.499 4.329 0.000 2.499 1.443 4.081" Properties=species:S:1:pos:R:3 comment="ThHgPdAu | Alexandria | PBE-GGA | relaxed" mass_density_g_cm3=13.84 delta_e_f_ev_per_atom=-0.558 sg="F-43m, No. 216" e_tot_ev_per_atom=-4.61 crystal_system=cubic dos_ef_per_ev_cell=3.2 pbc="T T T"
Th 0.000 0.000 0.000
Pd 7.497 4.329 3.061
Hg 4.998 2.886 2.041
Au 2.499 1.443 1.020

8
Lattice="-4.809 -4.696 -4.022 1.368 -7.699 -0.230 -2.958 -4.543 1.202" Properties=species:S:1:pos:R:3 comment="Mg6AlHg | Alexandria | PBE-GGA | relaxed" mass_density_g_cm3=3.63 delta_e_f_ev_per_atom=-0.045 sg="P-1, No. 2" e_tot_ev_per_atom=-1.75 polymorph_energy_ev_per_atom=0.026 crystal_system=triclinic dos_ef_per_ev_cell=3.8 pbc="T T T"
Al -3.200 -8.469 -1.525
Mg -4.470 -14.628 -2.337
Mg -4.855 -9.680 -3.832
Mg -3.596 -11.519 -1.281
Mg -1.544 -7.259 0.783
Hg 0.000 0.000 0.000
Mg -1.929 -2.310 -0.713
Mg -2.804 -5.420 -1.769

4
Lattice="3.601 0.000 0.000 0.000 3.601 0.000 0.000 0.000 10.403" Properties=species:S:1:pos:R:3 comment="CePrNd2 | Alexandria | PBE-GGA | relaxed" mass_density_g_cm3=7.01 delta_e_f_ev_per_atom=0.062 sg="P4/mmm, No. 123" e_tot_ev_per_atom=-5.00 polymorph_energy_ev_per_atom=0.000 crystal_system=tetragonal dos_ef_per_ev_cell=7.6 pbc="T T T"
Nd 0.000 0.000 2.446
Nd 0.000 0.000 7.957
Pr 1.801 1.801 5.201
Ce 1.801 1.801 0.000